Here is a geometry-optimized Ca2YPb structure from the Alexandria database. Energies are from PBE.

Output
total magnetic moment	0.01	μB/cell
energy of formation from the pure elements	-0.29	eV/atom

Cell lengths 4.920, 4.920, 5.172 Å; angles 90.00, 90.00, 90.00 degrees
Space group P4/mmm (No. 123)
Symmetry-distinct sites (fractional):
1 Ca 0.000 0.500 0.000 [2 per cell]
2 Y 0.000 0.000 0.500 [1 per cell]
3 Pb 0.500 0.500 0.500 [1 per cell]